The following is a DFT calculation (PBE) of a geometry-optimized YZrCd2Au4 structure.

Values from the calculation:
calculated volume: 20.41 Å³/atom
energy of formation: -0.570 eV per atom

Cell: 4.872 4.872 6.877 Å, 90.00 90.00 90.00°
Space group P4/mmm (No. 123)
One atom of each set of equivalent atoms:
Y 0.000 0.000 0.000 (multiplicity 1)
Zr 0.500 0.500 0.500 (multiplicity 1)
Cd 0.000 0.000 0.500 (multiplicity 1)
Cd 0.500 0.500 0.000 (multiplicity 1)
Au 0.000 0.500 0.264 (multiplicity 4)


The following is a DFT calculation (PBE) of a geometry-optimized ZnCdAu2 structure.

Values from the calculation:
calculated volume: 17.78 Å³/atom
energy of formation: -0.208 eV per atom

Cell: 3.226 3.226 6.835 Å, 90.00 90.00 90.00°
Space group P4/mmm (No. 123)
One atom of each set of equivalent atoms:
Zn 0.000 0.000 0.000 (multiplicity 1)
Cd 0.000 0.000 0.500 (multiplicity 1)
Au 0.500 0.500 0.223 (multiplicity 2)


The following is a DFT calculation (PBE) of a geometry-optimized ZnCd3Au structure.

Values from the calculation:
calculated volume: 20.10 Å³/atom
energy of formation: 0.037 eV per atom

Cell: 4.625 29.093 2.987 Å, 90.00 90.00 90.00°
Space group Cmmm (No. 65)
One atom of each set of equivalent atoms:
Zn 0.000 0.134 0.000 (multiplicity 4)
Cd 0.000 0.047 0.500 (multiplicity 4)
Cd 0.000 0.223 0.000 (multiplicity 4)
Cd 0.000 0.419 0.000 (multiplicity 4)
Au 0.000 0.325 0.500 (multiplicity 4)


The following is a DFT calculation (PBE) of a geometry-optimized ZnCdAu structure.

Values from the calculation:
energy above the most stable polymorph in this dataset: 0 meV/atom
calculated volume: 21.27 Å³/atom
energy of formation: -0.114 eV per atom

Cell: 6.343 6.343 6.343 Å, 90.00 90.00 90.00°
Space group F-43m (No. 216)
One atom of each set of equivalent atoms:
Zn 0.000 0.000 0.000 (multiplicity 4)
Cd 0.000 0.000 0.500 (multiplicity 4)
Au 0.250 0.250 0.750 (multiplicity 4)


The following is a DFT calculation (PBE) of a geometry-optimized ZnCd2Au structure.

Values from the calculation:
calculated volume: 18.68 Å³/atom
energy of formation: -0.034 eV per atom

Cell: 6.686 6.686 6.686 Å, 90.00 90.00 90.00°
Space group F-43m (No. 216)
One atom of each set of equivalent atoms:
Zn 0.000 0.000 0.000 (multiplicity 4)
Cd 0.000 0.000 0.500 (multiplicity 4)
Cd 0.250 0.250 0.750 (multiplicity 4)
Au 0.250 0.250 0.250 (multiplicity 4)


The following is a DFT calculation (PBE) of a geometry-optimized ZnCdAu2 structure.

Values from the calculation:
calculated volume: 17.98 Å³/atom
energy of formation: -0.098 eV per atom

Cell: 6.601 6.601 6.601 Å, 90.00 90.00 90.00°
Space group F-43m (No. 216)
One atom of each set of equivalent atoms:
Zn 0.000 0.000 0.000 (multiplicity 4)
Cd 0.250 0.250 0.250 (multiplicity 4)
Au 0.000 0.000 0.500 (multiplicity 4)
Au 0.250 0.250 0.750 (multiplicity 4)


The following is a DFT calculation (PBE) of a geometry-optimized ZrCdAu2 structure.

Values from the calculation:
calculated volume: 19.49 Å³/atom
energy of formation: -0.463 eV per atom

Cell: 4.806 4.806 6.751 Å, 90.00 90.00 90.00°
Space group I4/mmm (No. 139)
One atom of each set of equivalent atoms:
Zr 0.000 0.000 0.000 (multiplicity 2)
Cd 0.000 0.000 0.500 (multiplicity 2)
Au 0.000 0.500 0.250 (multiplicity 4)


The following is a DFT calculation (PBE) of a geometry-optimized Zr4CdAu structure.

Values from the calculation:
calculated volume: 21.93 Å³/atom
energy of formation: -0.258 eV per atom

Cell: 3.258 3.258 12.397 Å, 90.00 90.00 90.00°
Space group P4/mmm (No. 123)
One atom of each set of equivalent atoms:
Zr 0.000 0.000 0.154 (multiplicity 2)
Zr 0.500 0.500 0.328 (multiplicity 2)
Cd 0.000 0.000 0.500 (multiplicity 1)
Au 0.500 0.500 0.000 (multiplicity 1)


The following is a DFT calculation (PBE) of a geometry-optimized ZrCdAu2 structure.

Values from the calculation:
calculated volume: 19.52 Å³/atom
energy of formation: -0.460 eV per atom

Cell: 4.836 6.660 4.850 Å, 90.00 90.00 90.00°
Space group Pmmn (No. 59, origin choice 2)
One atom of each set of equivalent atoms:
Zr 0.250 0.250 0.231 (multiplicity 2)
Cd 0.250 0.750 0.225 (multiplicity 2)
Au 0.250 0.000 0.723 (multiplicity 4)


The following is a DFT calculation (PBE) of a geometry-optimized ZrCdAu2 structure.

Values from the calculation:
calculated volume: 19.96 Å³/atom
energy of formation: -0.307 eV per atom

Cell: 4.936 4.936 3.278 Å, 90.00 90.00 90.00°
Space group P4/mmm (No. 123)
One atom of each set of equivalent atoms:
Zr 0.000 0.000 0.000 (multiplicity 1)
Cd 0.500 0.500 0.000 (multiplicity 1)
Au 0.000 0.500 0.500 (multiplicity 2)


The following is a DFT calculation (PBE) of a geometry-optimized ZrCdAu2 structure.

Values from the calculation:
calculated volume: 19.79 Å³/atom
energy of formation: -0.409 eV per atom

Cell: 3.218 3.218 7.646 Å, 90.00 90.00 90.00°
Space group P4/mmm (No. 123)
One atom of each set of equivalent atoms:
Zr 0.000 0.000 0.000 (multiplicity 1)
Cd 0.000 0.000 0.500 (multiplicity 1)
Au 0.500 0.500 0.246 (multiplicity 2)


The following is a DFT calculation (PBE) of a geometry-optimized ZrCdAu2 structure.

Values from the calculation:
calculated volume: 19.49 Å³/atom
energy of formation: -0.462 eV per atom

Cell: 4.819 6.707 4.825 Å, 90.00 90.00 90.00°
Space group Pmmn (No. 59, origin choice 2)
One atom of each set of equivalent atoms:
Zr 0.250 0.250 0.243 (multiplicity 2)
Cd 0.250 0.750 0.240 (multiplicity 2)
Au 0.250 0.000 0.739 (multiplicity 4)


The following is a DFT calculation (PBE) of a geometry-optimized AuCl structure.

Values from the calculation:
calculated volume: 20.83 Å³/atom
final energy: -2.31 eV per atom

Cell: 3.4917 3.4917 3.9463 Å, 90.00 90.00 120.00°
Space group P-6m2 (No. 187)
One atom of each set of equivalent atoms:
Au 0.0000 0.0000 0.0000 (multiplicity 1)
Cl 0.6667 0.3333 0.5000 (multiplicity 1)


The following is a DFT calculation (PBE) of a geometry-optimized AuCl structure.

Values from the calculation:
calculated volume: 26.79 Å³/atom
final energy: -2.42 eV per atom

Cell: 5.985 5.985 5.985 Å, 90.00 90.00 90.00°
Space group F-43m (No. 216)
One atom of each set of equivalent atoms:
Au 0.000 0.000 0.000 (multiplicity 4)
Cl 0.250 0.250 0.750 (multiplicity 4)


The following is a DFT calculation (PBE) of a geometry-optimized AuCl structure.

Values from the calculation:
calculated volume: 27.10 Å³/atom
final energy: -2.77 eV per atom

Cell: 7.077 7.077 8.658 Å, 90.00 90.00 90.00°
Space group I4_1/amd (No. 141, origin choice 2)
One atom of each set of equivalent atoms:
Au 0.000 0.000 0.000 (multiplicity 8)
Cl 0.000 0.250 0.174 (multiplicity 8)


The following is a DFT calculation (PBE) of a geometry-optimized AuCl structure.

Values from the calculation:
calculated volume: 26.76 Å³/atom
final energy: -2.77 eV per atom

Cell: 7.034 7.034 8.652 Å, 90.00 90.00 90.00°
Space group I4_1/amd (No. 141, origin choice 2)
One atom of each set of equivalent atoms:
Au 0.000 0.000 0.000 (multiplicity 8)
Cl 0.000 0.250 0.176 (multiplicity 8)


The following is a DFT calculation (PBE) of a geometry-optimized Au2Cl structure.

Values from the calculation:
energy above the most stable polymorph in this dataset: 194 meV/atom
calculated volume: 24.28 Å³/atom

Cell: 5.424 5.424 4.951 Å, 90.00 90.00 90.00°
Space group P4_2/mnm (No. 136)
One atom of each set of equivalent atoms:
Au 0.171 0.171 0.000 (multiplicity 4)
Cl 0.000 0.000 0.500 (multiplicity 2)


The following is a DFT calculation (PBE) of a geometry-optimized Cs2DyAuCl6 structure.

Values from the calculation:
calculated volume: 31.36 Å³/atom
final energy: -3.78 eV per atom

Cell: 7.621 7.621 10.797 Å, 90.00 90.00 90.00°
Space group I4/mmm (No. 139)
One atom of each set of equivalent atoms:
Cs 0.000 0.500 0.250 (multiplicity 4)
Dy 0.000 0.000 0.000 (multiplicity 2)
Au 0.000 0.000 0.500 (multiplicity 2)
Cl 0.000 0.000 0.244 (multiplicity 4)
Cl 0.244 0.244 0.000 (multiplicity 8)


The following is a DFT calculation (PBE) of a geometry-optimized CsAuICl2 structure.

Values from the calculation:
calculated volume: 36.59 Å³/atom
final energy: -2.78 eV per atom

Cell: 7.794 7.794 12.047 Å, 90.00 90.00 90.00°
Space group I4/mmm (No. 139)
One atom of each set of equivalent atoms:
Cs 0.000 0.500 0.250 (multiplicity 4)
Au 0.000 0.000 0.000 (multiplicity 2)
Au 0.000 0.000 0.500 (multiplicity 2)
I 0.000 0.000 0.215 (multiplicity 4)
Cl 0.214 0.214 0.500 (multiplicity 8)


The following is a DFT calculation (PBE) of a geometry-optimized Cs2LiAuCl6 structure.

Values from the calculation:
calculated volume: 29.15 Å³/atom
final energy: -3.08 eV per atom

Cell: 7.286 7.286 10.984 Å, 90.00 90.00 90.00°
Space group I4/mmm (No. 139)
One atom of each set of equivalent atoms:
Cs 0.000 0.500 0.250 (multiplicity 4)
Li 0.000 0.000 0.000 (multiplicity 2)
Au 0.000 0.000 0.500 (multiplicity 2)
Cl 0.000 0.000 0.205 (multiplicity 4)
Cl 0.226 0.226 0.500 (multiplicity 8)